A relaxed Tb2Pm7Sm3 crystal, computed with PBE-GGA.

Values from the calculation:
V = 409.8 Å³/cell
Formation enthalpy at 0 K = 8.34 kJ/mol of atoms
Distance to the lowest polymorph of the same formula = 0.000 eV per atom

a = 5.9294 Å, b = 3.6210 Å, c = 19.1198 Å
α = 90.00°, β = 93.25°, γ = 90.00°
With the nearest neighbours (Å) after each atom.
Element x y z (fractional)
Tb  0.2071  0.0000  0.2958  3 Pm 3.22-3.40
Tb  0.7929  0.0000  0.7042  3 Pm 3.22-3.40
Pm  0.1815  0.5000  0.1448  2 Tb 3.40, 2 Sm 3.43, 7 Pm 3.44-3.62
Pm  0.2426  0.0000  0.4643  1 Tb 3.22, 2 Pm 3.25-3.27
Pm  0.3164  0.0000  0.8195  6 Pm 3.52-3.62, 2 Tb 3.68-3.70
Pm  0.5000  0.5000  0.0000  4 Pm 3.44-3.62, 4 Sm 3.47
Pm  0.6836  0.0000  0.1805  6 Pm 3.52-3.62, 2 Tb 3.68-3.70
Pm  0.7574  0.0000  0.5357  1 Tb 3.22, 2 Pm 3.25-3.27
Pm  0.8185  0.5000  0.8552  2 Tb 3.40, 2 Sm 3.43, 7 Pm 3.44-3.62
Sm  0.0000  0.0000  0.0000  8 Pm 3.43-3.47, 2 Sm 3.62
Sm  0.2829  0.5000  0.6330  2 Sm 3.62, 8 Pm 3.70-3.99, 4 Tb 3.72-3.74
Sm  0.7171  0.5000  0.3670  2 Sm 3.62, 8 Pm 3.70-3.99, 4 Tb 3.72-3.74